Entry 1:
Density functional theory data (GGA-PBE) for crystalline Pd8Se2S at its relaxed geometry.

Calculated values
**Total energy**: -4.90 eV per atom
**Formation energy without anion corrections**: -0.12 eV per atom
**Space group**: C2/m

Cell lengths 4.224, 6.385, 7.451 Å; angles 112.49, 106.47, 90.00 degrees
Element x y z (fractional)
S (0.500, 0.000, 0.000)
Pd (0.327, 0.031, 0.654)
Pd (0.416, 0.568, 0.832)
Pd (0.805, 0.696, 0.609)
Pd (0.584, 0.432, 0.168)
Pd (0.034, 0.826, 0.068)
Pd (0.195, 0.304, 0.391)
Pd (0.966, 0.174, 0.932)
Pd (0.673, 0.969, 0.346)
Se (0.831, 0.333, 0.662)
Se (0.169, 0.667, 0.338)

***

Entry 2:
Density functional theory data (GGA-PBE) for crystalline Pd5SeS at its relaxed geometry.

Calculated values
**Total energy**: -4.92 eV per atom
**Formation energy without anion corrections**: -0.12 eV per atom
**Space group**: P2_1/c

Cell lengths 10.108, 6.068, 9.063 Å; angles 71.10, 90.00, 90.00 degrees
Element x y z (fractional)
Se (0.474, 0.420, 0.802)
Se (0.974, 0.580, 0.698)
Se (0.526, 0.580, 0.198)
Se (0.026, 0.420, 0.302)
Pd (0.627, 0.607, 0.448)
Pd (0.954, 0.184, 0.882)
Pd (0.604, 0.173, 0.693)
Pd (0.262, 0.165, 0.862)
Pd (0.046, 0.816, 0.118)
Pd (0.127, 0.393, 0.052)
Pd (0.896, 0.173, 0.193)
Pd (0.396, 0.827, 0.307)
Pd (0.593, 0.679, 0.922)
Pd (0.873, 0.607, 0.948)
Pd (0.762, 0.835, 0.638)
Pd (0.546, 0.184, 0.382)
Pd (0.093, 0.321, 0.578)
Pd (0.238, 0.165, 0.362)
Pd (0.104, 0.827, 0.807)
Pd (0.738, 0.835, 0.138)
Pd (0.373, 0.393, 0.552)
Pd (0.454, 0.816, 0.618)
Pd (0.407, 0.321, 0.078)
Pd (0.907, 0.679, 0.422)
S (0.265, 0.024, 0.637)
S (0.765, 0.976, 0.863)
S (0.735, 0.976, 0.363)
S (0.235, 0.024, 0.137)

***

Entry 3:
Density functional theory data (GGA-PBE) for crystalline Pd5Se2S at its relaxed geometry.

Calculated values
**Total energy**: -4.77 eV per atom
**Formation energy without anion corrections**: -0.14 eV per atom
**Space group**: Cmcm

Cell lengths 3.542, 7.163, 12.569 Å; angles 90.00, 90.00, 104.32 degrees
Element x y z (fractional)
Pd (0.710, 0.420, 0.577)
Pd (0.290, 0.580, 0.423)
Pd (0.083, 0.166, 0.425)
Pd (0.290, 0.580, 0.077)
Pd (0.264, 0.528, 0.750)
Pd (0.736, 0.472, 0.250)
Pd (0.710, 0.420, 0.923)
Pd (0.083, 0.166, 0.075)
Pd (0.917, 0.834, 0.575)
Pd (0.917, 0.834, 0.925)
Se (0.094, 0.187, 0.881)
Se (0.094, 0.187, 0.619)
Se (0.906, 0.813, 0.381)
Se (0.906, 0.813, 0.119)
S (0.133, 0.266, 0.250)
S (0.867, 0.734, 0.750)

***

Entry 4:
Density functional theory data (GGA-PBE) for crystalline Pd2SeS3 at its relaxed geometry.

Calculated values
**Total energy**: -4.55 eV per atom
**Formation energy without anion corrections**: -0.17 eV per atom
**Space group**: P-3m1

Cell lengths 7.303, 7.303, 4.824 Å; angles 90.00, 89.98, 120.00 degrees
Element x y z (fractional)
Pd (0.500, 0.000, 0.000)
Pd (0.500, 0.500, 0.000)
Pd (0.000, 0.500, 0.000)
Pd (0.000, 0.000, 0.000)
S (0.339, 0.169, 0.245)
S (0.170, 0.339, 0.755)
S (0.170, 0.831, 0.755)
S (0.830, 0.169, 0.245)
S (0.661, 0.831, 0.755)
S (0.830, 0.661, 0.245)
Se (0.667, 0.333, 0.698)
Se (0.333, 0.667, 0.302)

***

In order of appearance, calculated volume = 176.8 131.5 154.5 111.4 Å³/f.u..